The following is a PBE calculation of a geometry-optimized TaTcTe6 structure, from Alexandria via LeMat-Bulk.

Output
- Total magnetic moment: 0.00 Bohr magnetons per cell
- Uncorrected formation energy: -22 kJ/mol of formula units
- Fermi-level density of states: 0.6687 states/eV per atom
- DFT total energy: -5.16 eV per atom

```
data_TaTcTe6
_space_group_name_H-M_alt 'P -1'
_space_group_IT_number 2
_cell_length_a 6.154
_cell_length_b 6.632
_cell_length_c 6.833
_cell_angle_alpha 70.80
_cell_angle_beta 66.27
_cell_angle_gamma 64.48
loop_
_space_group_symop_operation_xyz
'x,y,z'
'-x,-y,-z'
loop_
_atom_site_label
_atom_site_fract_x
_atom_site_fract_y
_atom_site_fract_z
_atom_site_occupancy
Ta1 0.000 0.000 0.000 1
Tc1 0.500 0.500 0.500 1
Te1 0.042 0.765 0.717 1
Te2 0.298 0.585 0.185 1
Te3 0.397 0.119 0.684 1
```